# 1
Material: InSiTc
Method: DFT, GGA-PBE
State: optimized geometry

Output
The offset from the most stable computed form is 0.150 eV per atom. As for the density of states at the Fermi level: 2.17 states/eV per cell.

Lattice parameters (Å, degrees): 3.1758 3.2370 10.5936 98.75 90.02 90.00
Sites, in units of the cell vectors:
1 In 0.0000 0.0000 0.0000
2 In 0.0030 0.8588 0.7252
3 Si 0.0008 0.1351 0.2720
4 Si 0.5011 0.2697 0.5422
5 Tc 0.0010 0.7232 0.4485
6 Tc 0.5008 0.5890 0.1796

***

# 2
Material: InSiTc3
Method: DFT, GGA-PBE
State: optimized geometry

Output
The offset from the most stable computed form is 0.000 eV per atom. As for the density of states at the Fermi level: 6.34 states/eV per cell.

Lattice parameters (Å, degrees): 4.4532 4.4532 4.4532 90.00 90.00 90.00
Sites, in units of the cell vectors:
1 In 0.0000 0.0000 0.0000
2 Si 0.5000 0.5000 0.5000
3 Tc 0.0000 0.5000 0.5000
4 Tc 0.5000 0.0000 0.5000
5 Tc 0.5000 0.5000 0.0000